Entry 1:
## HOsRh (PBE)

Data for a relaxed structure of HOsRh.

Energy above the lowest structure with this stoichiometry ... 309 meV/atom
Spin magnetization ... 0.00 μB/f.u.
N(E_F) ... 0.85 states/eV/atom

a = 4.8506 Å, b = 5.3820 Å, c = 4.8646 Å
α = 90.00°, β = 90.00°, γ = 90.00°
With the nearest neighbours (Å) after each atom.
Space group Pnma (No. 62)
Symmetry-distinct sites (fractional):
H: 0.2396 0.2500 0.2382 x4  2 Os 1.79-1.81
Os: 0.0004 0.2500 0.5234 x4  2 H 1.79-1.81
Rh: 0.0000 0.0000 0.0000 x4  4 H 2.12-2.24

---

Entry 2:
## MgSi3Ni5 (PBE)

Data for a relaxed structure of MgSi3Ni5.

Spin magnetization ... 0.00 μB/f.u.
N(E_F) ... 0.52 states/eV/atom
Calculated total energy ... -201.70 eV/cell

a = 3.7001 Å, b = 12.0307 Å, c = 10.9072 Å
α = 90.00°, β = 90.00°, γ = 90.00°
With the nearest neighbours (Å) after each atom.
Space group Cmcm (No. 63)
Symmetry-distinct sites (fractional):
Mg: 0.0000 0.2282 0.2500 x4  6 Ni 2.86-2.88, 6 Si 2.92-3.09
Si: 0.0000 0.0842 0.7500 x4  6 Ni 2.24-2.42
Si: 0.0000 0.3806 0.5577 x8  7 Ni 2.22-2.47
Ni: 0.0000 0.0000 0.0000 x4  4 Si 2.43, 6 Ni 2.46-2.48
Ni: 0.0000 0.1961 0.5653 x8  4 Si 2.22-2.47, 1 Ni 2.46
Ni: 0.0000 0.4430 0.1379 x8  4 Si 2.24-2.30, 3 Ni 2.45-2.48

---

Entry 3:
## Sm2ZrSe (PBE)

Data for a relaxed structure of Sm2ZrSe.

Spin magnetization ... 1.50 μB/f.u.
N(E_F) ... 1.05 states/eV/atom
Calculated total energy ... -68.47 eV/cell

a = 3.6783 Å, b = 3.6783 Å, c = 30.1117 Å
α = 90.00°, β = 90.00°, γ = 120.00°
With the nearest neighbours (Å) after each atom.
Space group R-3m (No. 166, hexagonal axes)
Symmetry-distinct sites (fractional):
Sm: 0.0000 0.0000 0.1026 x6  3 Se 2.87, 1 Zr 3.09
Zr: 0.0000 0.0000 0.0000 x3  2 Sm 3.09
Se: 0.0000 0.0000 0.5000 x3  6 Sm 2.87

---

Entry 4:
## FeCo2CuC (PBE)

Data for a relaxed structure of FeCo2CuC.

Spin magnetization ... 3.11 μB/f.u.
Calculated formation energy ... 0.78 eV/f.u.
N(E_F) ... 0.87 states/eV/atom

a = 3.7233 Å, b = 3.7233 Å, c = 3.7628 Å
α = 90.00°, β = 90.00°, γ = 90.00°
With the nearest neighbours (Å) after each atom.
Space group P4/mmm (No. 123)
Symmetry-distinct sites (fractional):
Fe: 0.0000 0.0000 0.0000 x1  2 C 1.88
Co: 0.0000 0.5000 0.5000 x2  2 C 1.86
Cu: 0.5000 0.5000 0.0000 x1  4 Fe 2.63, 8 Co 2.65
C: 0.0000 0.0000 0.5000 x1  4 Co 1.86, 2 Fe 1.88

---

Entry 5:
## CePu2Tc (PBE)

Data for a relaxed structure of CePu2Tc.

Energy above the lowest structure with this stoichiometry ... 38 meV/atom
Spin magnetization ... 11.37 μB/f.u.
Calculated formation energy ... 0.37 eV/f.u.
N(E_F) ... 3.30 states/eV/atom

a = 5.6872 Å, b = 8.0956 Å, c = 8.3044 Å
α = 90.00°, β = 90.00°, γ = 90.00°
With the nearest neighbours (Å) after each atom.
Space group Cmcm (No. 63)
Symmetry-distinct sites (fractional):
Ce: 0.0000 0.0170 0.2500 x4  1 Tc 2.58
Pu: 0.0000 0.3178 0.5770 x8  1 Tc 2.72, 1 Pu 2.87
Tc: 0.0000 0.3360 0.2500 x4  1 Ce 2.58, 2 Pu 2.72

---

Entry 6:
## Sr2GaHgSe5 (PBE)

Data for a relaxed structure of Sr2GaHgSe5.

Spin magnetization ... 0.00 μB/f.u.
N(E_F) ... 0.60 states/eV/atom
Calculated total energy ... -133.41 eV/cell

a = 4.1122 Å, b = 19.4158 Å, c = 12.4634 Å
α = 90.00°, β = 90.00°, γ = 90.00°
With the nearest neighbours (Å) after each atom.
Space group Cmc2_1 (No. 36)
Symmetry-distinct sites (fractional):
Sr: 0.0000 0.1045 0.0000 x4  6 Se 3.03-3.28
Sr: 0.0000 0.1155 0.6411 x4  7 Se 3.09-3.33
Ga: 0.0000 0.4278 0.7871 x4  4 Se 2.40-2.50
Hg: 0.0000 0.2365 0.3836 x4  5 Se 2.73-2.82
Se: 0.0000 0.0505 0.3959 x4  2 Ga 2.50
Se: 0.0000 0.2673 0.0377 x4  2 Hg 2.81
Se: 0.0000 0.3028 0.7412 x4  1 Ga 2.49
Se: 0.0000 0.3720 0.3252 x4  1 Hg 2.73, 2 Sr 3.03
Se: 0.0000 0.4888 0.6195 x4  1 Ga 2.40

---

Entry 7:
## KFe2Hg (PBE)

Data for a relaxed structure of KFe2Hg.

Spin magnetization ... 5.62 μB/f.u.
Calculated formation energy ... 2.45 eV/f.u.
N(E_F) ... 0.78 states/eV/atom

a = 9.4948 Å, b = 3.2274 Å, c = 6.5569 Å
α = 90.00°, β = 99.14°, γ = 90.00°
With the nearest neighbours (Å) after each atom.
Space group C2/m (No. 12)
Symmetry-distinct sites (fractional):
K: 0.0000 0.0000 0.0000 x2  2 K 3.23, 2 Fe 3.60
Fe: 0.2321 0.0000 0.6168 x4  2 Fe 2.29
Hg: 0.0000 0.5000 0.5000 x2  6 Fe 2.74-2.77

---

Entry 8:
## Zr2InC (PBE)

Data for a relaxed structure of Zr2InC.

Energy above the lowest structure with this stoichiometry ... 20 meV/atom
Spin magnetization ... 0.00 μB/f.u.
Calculated formation energy ... -2.71 eV/f.u.
N(E_F) ... 0.18 states/eV/atom

a = 3.3732 Å, b = 3.3732 Å, c = 22.6617 Å
α = 90.00°, β = 90.00°, γ = 120.00°
With the nearest neighbours (Å) after each atom.
Space group R-3m (No. 166, hexagonal axes)
Symmetry-distinct sites (fractional):
Zr: 0.0000 0.0000 0.2215 x6  3 C 2.31
In: 0.0000 0.0000 0.0000 x3  6 Zr 3.20, 6 In 3.37
C: 0.0000 0.0000 0.5000 x3  6 Zr 2.31